Entry 1:
Here is ZrTeAs2 at its PBEsol-relaxed geometry from the Alexandria database. Energies are from SCAN.

raw formation energy: -4.2 kcal/mol of atoms
M_tot: 0.000 μB per atom
DFT total energy: -27.26 eV per atom

```
data_ZrTeAs2
_chemical_formula_sum 'Zr2 Te2 As4'
_space_group_name_H-M_alt 'C m m m'
_space_group_IT_number 65
_space_group_name_Hall '-C 2 2'
_cell_length_a 6.0767
_cell_length_b 7.4931
_cell_length_c 3.5564
_cell_angle_alpha 90.00
_cell_angle_beta 90.00
_cell_angle_gamma 90.00
loop_
_atom_site_label
_atom_site_type_symbol
_atom_site_fract_x
_atom_site_fract_y
_atom_site_fract_z
Zr1 Zr 0.0000 0.0000 0.0000
Te1 Te 0.0000 0.5000 0.0000
As1 As 0.2500 0.2500 0.5000
```

Entry 2:
Here is LuRu at its PBEsol-relaxed geometry from the Alexandria database. Energies are from SCAN.

M_tot: 0.007 μB per atom
DFT total energy: -45.68 eV per atom
calculated formation energy: -0.597 eV per atom

```
data_LuRu
_chemical_formula_sum 'Lu1 Ru1'
_space_group_name_H-M_alt 'P m -3 m'
_space_group_IT_number 221
_space_group_name_Hall '-P 4 2 3'
_cell_length_a 3.2740
_cell_length_b 3.2740
_cell_length_c 3.2740
_cell_angle_alpha 90.00
_cell_angle_beta 90.00
_cell_angle_gamma 90.00
loop_
_atom_site_label
_atom_site_type_symbol
_atom_site_fract_x
_atom_site_fract_y
_atom_site_fract_z
Lu1 Lu 0.0000 0.0000 0.0000
Ru1 Ru 0.5000 0.5000 0.5000
```

Entry 3:
Here is CrBN3 at its PBEsol-relaxed geometry from the Alexandria database. Energies are from SCAN.

raw formation energy: 40.0 kcal/mol of atoms
M_tot: 0.000 μB per atom
DFT total energy: -9.00 eV per atom

```
data_CrBN3
_chemical_formula_sum 'Cr1 B1 N3'
_space_group_name_H-M_alt 'P m -3 m'
_space_group_IT_number 221
_space_group_name_Hall '-P 4 2 3'
_cell_length_a 3.6614
_cell_length_b 3.6614
_cell_length_c 3.6614
_cell_angle_alpha 90.00
_cell_angle_beta 90.00
_cell_angle_gamma 90.00
loop_
_atom_site_label
_atom_site_type_symbol
_atom_site_fract_x
_atom_site_fract_y
_atom_site_fract_z
Cr1 Cr 0.0000 0.0000 0.0000
B1 B 0.5000 0.5000 0.5000
N1 N 0.0000 0.0000 0.5000
```

Question: Look up the M_tot of the first one.
Answer: 0.000 μB per atom